(1)
A geometry-optimized Nd2DyS structure. Source: the Alexandria database, functional PBE.

Cell lengths 3.8471, 3.8471, 28.6931 Å; angles 90.00, 90.00, 120.00 degrees
Space group R-3m (No. 166, hexagonal axes)
Asymmetric unit:
Nd (0.0000, 0.0000, 0.2286) (multiplicity 6)
Dy (0.0000, 0.0000, 0.0000) (multiplicity 3)
S (0.0000, 0.0000, 0.5000) (multiplicity 3)

## Properties
Its raw total energy is -5.4347 eV/atom. The density of states at the Fermi level is 1.20 states/eV/atom. The crystal system is trigonal.



(2)
A geometry-optimized Ce2CoOs3 structure. Source: the Alexandria database, functional PBE.

Cell lengths 9.152, 5.291, 5.343 Å; angles 90.00, 124.87, 90.00 degrees
Space group C2/m (No. 12)
Asymmetric unit:
Ce (0.124, 0.000, 0.373) (multiplicity 4)
Co (0.000, 0.500, 0.500) (multiplicity 2)
Os (0.000, 0.500, 0.000) (multiplicity 2)
Os (0.250, 0.250, 0.000) (multiplicity 4)

## Properties
The calculation puts the formation energy at -242 meV per atom. The density of states at the Fermi level is 1.21 states/eV/atom. The crystal system is monoclinic.